# HoTmOs (PBE, optimized geometry)
data_HoTmOs
_chemical_formula_sum 'Ho4 Tm4 Os4'
_cell_length_a 7.383
_cell_length_b 4.299
_cell_length_c 8.782
_cell_angle_alpha 90.00
_cell_angle_beta 90.00
_cell_angle_gamma 90.00
_symmetry_space_group_name_H-M 'P n m a'
_symmetry_Int_Tables_number 62
_symmetry_space_group_name_Hall '-P 2ac 2n'
loop_
_atom_site_label
_atom_site_fract_x
_atom_site_fract_y
_atom_site_fract_z
Ho1 0.023 0.250 0.167
Tm1 0.146 0.250 0.567
Os1 0.245 0.750 0.380
# energy of formation from the pure elements	-0.303	eV per atom
# electronic total energy	-7.062	eV per atom
# spin magnetization	0.02	μB/cell
# distance to the lowest polymorph of the same formula	0.0	meV per atom